# La2Tc2C3 PBE-GGA relaxed
data_La2Tc2C3
_chemical_formula_sum 'La4 Tc4 C6'
_symmetry_space_group_name_H-M 'C 1 2/m 1'
_symmetry_Int_Tables_number 12
_symmetry_space_group_name_Hall '-C 2y'
_cell_length_a 12.2269
_cell_length_b 3.4652
_cell_length_c 5.9737
_cell_angle_alpha 90.00
_cell_angle_beta 118.29
_cell_angle_gamma 90.00
loop_
_atom_site_label
_atom_site_type_symbol
_atom_site_fract_x
_atom_site_fract_y
_atom_site_fract_z
La1 La 0.1036 0.0000 0.3062
Tc1 Tc 0.1634 0.5000 0.8179
C1 C 0.0000 0.5000 0.5000
C2 C 0.2480 0.0000 0.7793
# total DFT energy (no corrections) = -119.41 eV/cell


# LaTc2C2 PBE-GGA relaxed
data_LaTc2C2
_chemical_formula_sum 'La8 Tc16 C16'
_symmetry_space_group_name_H-M 'F d d d'
_symmetry_Int_Tables_number 70
_cell_length_a 6.6859
_cell_length_b 8.9952
_cell_length_c 9.6985
_cell_angle_alpha 90.00
_cell_angle_beta 90.00
_cell_angle_gamma 90.00
loop_
_symmetry_equiv_pos_as_xyz
'x,y,z'
'-x,-y,-z'
'-x+1/4,-y+1/4,z'
'x+1/4,y+1/4,-z'
'x,-y+1/4,-z+1/4'
'-x,y+1/4,z+1/4'
'-x+1/4,y,-z+1/4'
'x+1/4,-y,z+1/4'
'x,y+1/2,z+1/2'
'-x,-y+1/2,-z+1/2'
'-x+1/4,-y+3/4,z+1/2'
'x+1/4,y+3/4,-z+1/2'
'x,-y+3/4,-z+3/4'
'-x,y+3/4,z+3/4'
'-x+1/4,y+1/2,-z+3/4'
'x+1/4,-y+1/2,z+3/4'
'x+1/2,y,z+1/2'
'-x+1/2,-y,-z+1/2'
'-x+3/4,-y+1/4,z+1/2'
'x+3/4,y+1/4,-z+1/2'
'x+1/2,-y+1/4,-z+3/4'
'-x+1/2,y+1/4,z+3/4'
'-x+3/4,y,-z+3/4'
'x+3/4,-y,z+3/4'
'x+1/2,y+1/2,z'
'-x+1/2,-y+1/2,-z'
'-x+3/4,-y+3/4,z'
'x+3/4,y+3/4,-z'
'x+1/2,-y+3/4,-z+1/4'
'-x+1/2,y+3/4,z+1/4'
'-x+3/4,y+1/2,-z+1/4'
'x+3/4,-y+1/2,z+1/4'
loop_
_atom_site_label
_atom_site_type_symbol
_atom_site_fract_x
_atom_site_fract_y
_atom_site_fract_z
La1 La 0.1250 0.1250 0.1250
Tc1 Tc 0.1250 0.1250 0.4858
C1 C 0.1250 0.3102 0.6250
# total DFT energy (no corrections) = -358.82 eV/cell


# LaTmW2C3 PBE-GGA relaxed
data_LaTmW2C3
_chemical_formula_sum 'La2 Tm2 W4 C6'
_symmetry_space_group_name_H-M 'C 1 m 1'
_symmetry_Int_Tables_number 8
_symmetry_space_group_name_Hall 'C -2y'
_cell_length_a 12.0996
_cell_length_b 3.3683
_cell_length_c 5.8418
_cell_angle_alpha 90.00
_cell_angle_beta 114.23
_cell_angle_gamma 90.00
loop_
_atom_site_label
_atom_site_type_symbol
_atom_site_fract_x
_atom_site_fract_y
_atom_site_fract_z
La1 La 0.0000 0.0000 0.0000
Tm1 Tm 0.2833 0.5000 0.3669
W1 W 0.0561 0.5000 0.5220
W2 W 0.2405 0.0000 0.8755
C1 C 0.1494 0.0000 0.4671
C2 C 0.1506 0.5000 0.9264
C3 C 0.3934 0.0000 0.2142
# total DFT energy (no corrections) = -129.29 eV/cell


# LaYW2C3 PBE-GGA relaxed
data_LaYW2C3
_chemical_formula_sum 'La2 Y2 W4 C6'
_symmetry_space_group_name_H-M 'C 1 m 1'
_symmetry_Int_Tables_number 8
_symmetry_space_group_name_Hall 'C -2y'
_cell_length_a 12.1953
_cell_length_b 3.3870
_cell_length_c 5.8869
_cell_angle_alpha 90.00
_cell_angle_beta 114.73
_cell_angle_gamma 90.00
loop_
_atom_site_label
_atom_site_type_symbol
_atom_site_fract_x
_atom_site_fract_y
_atom_site_fract_z
La1 La 0.0000 0.0000 0.0000
Y1 Y 0.2156 0.0000 0.6286
W1 W 0.2607 0.5000 0.1247
W2 W 0.4444 0.0000 0.4797
C1 C 0.1060 0.5000 0.7907
C2 C 0.3502 0.0000 0.0766
C3 C 0.3529 0.5000 0.5315
# total DFT energy (no corrections) = -133.16 eV/cell


# LiLu3C PBE-GGA relaxed
data_LiLu3C
_chemical_formula_sum 'Li1 Lu3 C1'
_symmetry_space_group_name_H-M 'P m -3 m'
_symmetry_Int_Tables_number 221
_symmetry_space_group_name_Hall '-P 4 2 3'
_cell_length_a 4.8276
_cell_length_b 4.8276
_cell_length_c 4.8276
_cell_angle_alpha 90.00
_cell_angle_beta 90.00
_cell_angle_gamma 90.00
loop_
_atom_site_label
_atom_site_type_symbol
_atom_site_fract_x
_atom_site_fract_y
_atom_site_fract_z
Li1 Li 0.0000 0.0000 0.0000
Lu1 Lu 0.0000 0.5000 0.5000
C1 C 0.5000 0.5000 0.5000
# total DFT energy (no corrections) = -25.26 eV/cell


# LiNdC2O6 PBE-GGA relaxed
data_LiNdC2O6
_chemical_formula_sum 'Li4 Nd4 C8 O24'
_symmetry_space_group_name_H-M 'C 1 2/c 1'
_symmetry_Int_Tables_number 15
_symmetry_space_group_name_Hall '-C 2yc'
_cell_length_a 9.9781
_cell_length_b 7.7405
_cell_length_c 6.7495
_cell_angle_alpha 90.00
_cell_angle_beta 124.19
_cell_angle_gamma 90.00
loop_
_atom_site_label
_atom_site_type_symbol
_atom_site_fract_x
_atom_site_fract_y
_atom_site_fract_z
Li1 Li 0.0000 0.2494 0.2500
Nd1 Nd 0.0000 0.1935 0.7500
C1 C 0.2317 0.4442 0.6300
O1 O 0.1185 0.0823 0.1899
O2 O 0.1218 0.3290 0.5627
O3 O 0.2023 0.4108 0.0196
# total DFT energy (no corrections) = -304.87 eV/cell


- What is the total DFT energy (no corrections) in the third record?
  -129.29 eV/cell


Please write out number 2 again, unchanged.
# LaTc2C2 PBE-GGA relaxed
data_LaTc2C2
_chemical_formula_sum 'La8 Tc16 C16'
_symmetry_space_group_name_H-M 'F d d d'
_symmetry_Int_Tables_number 70
_cell_length_a 6.6859
_cell_length_b 8.9952
_cell_length_c 9.6985
_cell_angle_alpha 90.00
_cell_angle_beta 90.00
_cell_angle_gamma 90.00
loop_
_symmetry_equiv_pos_as_xyz
'x,y,z'
'-x,-y,-z'
'-x+1/4,-y+1/4,z'
'x+1/4,y+1/4,-z'
'x,-y+1/4,-z+1/4'
'-x,y+1/4,z+1/4'
'-x+1/4,y,-z+1/4'
'x+1/4,-y,z+1/4'
'x,y+1/2,z+1/2'
'-x,-y+1/2,-z+1/2'
'-x+1/4,-y+3/4,z+1/2'
'x+1/4,y+3/4,-z+1/2'
'x,-y+3/4,-z+3/4'
'-x,y+3/4,z+3/4'
'-x+1/4,y+1/2,-z+3/4'
'x+1/4,-y+1/2,z+3/4'
'x+1/2,y,z+1/2'
'-x+1/2,-y,-z+1/2'
'-x+3/4,-y+1/4,z+1/2'
'x+3/4,y+1/4,-z+1/2'
'x+1/2,-y+1/4,-z+3/4'
'-x+1/2,y+1/4,z+3/4'
'-x+3/4,y,-z+3/4'
'x+3/4,-y,z+3/4'
'x+1/2,y+1/2,z'
'-x+1/2,-y+1/2,-z'
'-x+3/4,-y+3/4,z'
'x+3/4,y+3/4,-z'
'x+1/2,-y+3/4,-z+1/4'
'-x+1/2,y+3/4,z+1/4'
'-x+3/4,y+1/2,-z+1/4'
'x+3/4,-y+1/2,z+1/4'
loop_
_atom_site_label
_atom_site_type_symbol
_atom_site_fract_x
_atom_site_fract_y
_atom_site_fract_z
La1 La 0.1250 0.1250 0.1250
Tc1 Tc 0.1250 0.1250 0.4858
C1 C 0.1250 0.3102 0.6250
# total DFT energy (no corrections) = -358.82 eV/cell